# 1
LuFeCoPb (PBE, relaxed); uncorrected energy = -23.166 eV for the cell shown; distance to the lowest polymorph of the same formula = 0.000 eV per atom
1.0
0.0000 3.2448 3.2448
3.2448 0.0000 3.2448
3.2448 3.2448 0.0000
Lu Fe Co Pb
1 1 1 1
Cartesian
0.0000 0.0000 0.0000 Lu
1.6224 1.6224 1.6224 Fe
4.8673 4.8673 4.8673 Co
3.2448 3.2448 3.2448 Pb

# 2
LuFeCoPb (PBE, relaxed); uncorrected energy = -22.519 eV for the cell shown; distance to the lowest polymorph of the same formula = 0.162 eV per atom
1.0
0.0000 3.3235 3.3235
3.3235 0.0000 3.3235
3.3235 3.3235 0.0000
Lu Fe Co Pb
1 1 1 1
Cartesian
0.0000 0.0000 0.0000 Lu
3.3235 3.3235 3.3235 Fe
4.9853 4.9853 4.9853 Co
1.6618 1.6618 1.6618 Pb

# 3
Tm2LuFe7Co2 (PBE, relaxed); uncorrected energy = -87.465 eV for the cell shown
1.0
2.4737 1.4282 8.0840
-2.4737 1.4282 8.0840
0.0000 -2.8564 8.0840
Tm Lu Fe Co
2 1 7 2
Cartesian
0.0000 0.0000 3.4445 Tm
0.0000 0.0000 20.8075 Tm
0.0000 0.0000 0.0000 Lu
-1.2394 -0.7156 10.0732 Fe
0.0000 -1.4312 14.1789 Fe
-1.2394 0.7156 14.1789 Fe
0.0000 0.0000 12.1260 Fe
1.2394 -0.7156 10.0732 Fe
0.0000 1.4311 10.0732 Fe
1.2394 0.7156 14.1788 Fe
0.0000 0.0000 8.0684 Co
0.0000 0.0000 16.1836 Co

# 4
Tm2LuFe6Co3 (PBE, relaxed); uncorrected energy = -86.529 eV for the cell shown
1.0
2.4811 1.4324 8.0689
-2.4811 1.4324 8.0689
0.0000 -2.8649 8.0689
Tm Lu Fe Co
2 1 6 3
Cartesian
0.0000 0.0000 3.4414 Tm
0.0000 0.0000 20.7652 Tm
0.0000 0.0000 0.0000 Lu
-1.2452 -0.7189 10.0541 Fe
0.0000 -1.4378 14.1524 Fe
-1.2452 0.7189 14.1524 Fe
1.2452 -0.7189 10.0541 Fe
0.0000 1.4378 10.0541 Fe
1.2452 0.7189 14.1524 Fe
0.0000 0.0000 8.0623 Co
0.0000 0.0000 12.1033 Co
0.0000 0.0000 16.1443 Co

# 5
TmLu2FeCo8 (PBE, relaxed); uncorrected energy = -81.460 eV for the cell shown
1.0
2.4672 1.4244 7.9308
-2.4672 1.4244 7.9308
0.0000 -2.8489 7.9308
Tm Lu Fe Co
1 2 1 8
Cartesian
0.0000 0.0000 0.0000 Tm
0.0000 0.0000 3.3262 Lu
0.0000 0.0000 20.4662 Lu
0.0000 0.0000 11.8962 Fe
-1.2488 -0.7210 9.8913 Co
0.0000 0.0000 7.9627 Co
0.0000 -1.4420 13.9011 Co
-1.2488 0.7210 13.9011 Co
1.2488 -0.7210 9.8913 Co
0.0000 1.4420 9.8913 Co
0.0000 0.0000 15.8297 Co
1.2488 0.7210 13.9010 Co

# 6
TmLu2Fe6Co3 (PBE, relaxed); uncorrected energy = -86.761 eV for the cell shown
1.0
2.4818 1.4329 8.0543
-2.4818 1.4329 8.0543
0.0000 -2.8657 8.0543
Tm Lu Fe Co
1 2 6 3
Cartesian
0.0000 0.0000 0.0000 Tm
0.0000 0.0000 3.4417 Lu
0.0000 0.0000 20.7211 Lu
-1.2472 -0.7201 10.0496 Fe
0.0000 -1.4401 14.1131 Fe
-1.2472 0.7201 14.1131 Fe
1.2472 -0.7201 10.0496 Fe
0.0000 1.4401 10.0496 Fe
1.2472 0.7201 14.1132 Fe
0.0000 0.0000 8.0473 Co
0.0000 0.0000 12.0814 Co
0.0000 0.0000 16.1155 Co

# 7
Tm2LuFe8Co (PBE, relaxed); uncorrected energy = -88.727 eV for the cell shown
1.0
2.4911 1.4383 8.0226
-2.4911 1.4383 8.0226
0.0000 -2.8765 8.0226
Tm Lu Fe Co
2 1 8 1
Cartesian
0.0000 0.0000 3.4177 Tm
0.0000 0.0000 20.6500 Tm
0.0000 0.0000 0.0000 Lu
-1.2492 -0.7212 9.9922 Fe
0.0000 0.0000 8.0124 Fe
0.0000 -1.4424 14.0755 Fe
-1.2492 0.7212 14.0755 Fe
1.2492 -0.7212 9.9922 Fe
0.0000 1.4424 9.9922 Fe
0.0000 0.0000 16.0553 Fe
1.2492 0.7212 14.0754 Fe
0.0000 0.0000 12.0338 Co

# 8
Tm2LuFeCo8 (PBE, relaxed); uncorrected energy = -81.231 eV for the cell shown
1.0
2.4701 1.4261 7.9437
-2.4701 1.4261 7.9437
0.0000 -2.8522 7.9437
Tm Lu Fe Co
2 1 1 8
Cartesian
0.0000 0.0000 3.3258 Tm
0.0000 0.0000 20.5054 Tm
0.0000 0.0000 0.0000 Lu
0.0000 0.0000 11.9156 Fe
-1.2489 -0.7211 9.8994 Co
0.0000 0.0000 7.9745 Co
0.0000 -1.4421 13.9318 Co
-1.2489 0.7211 13.9318 Co
1.2489 -0.7211 9.8994 Co
0.0000 1.4421 9.8994 Co
0.0000 0.0000 15.8568 Co
1.2489 0.7211 13.9318 Co